Entry from Alexandria via LeMat-Bulk: a relaxed structure of Tb5Tl4Zn (PBE).

The space group is P4/mmm (No. 123) and the conventional cell measures 3.651, 3.651 and 20.039 Å, with angles of 90.00, 90.00 and 90.00 degrees. The asymmetric unit holds Tb at (0.000, 0.000, 0.000), Tb at (0.000, 0.000, 0.208), Tb at (0.000, 0.000, 0.415), Tl at (0.500, 0.500, 0.104), Tl at (0.500, 0.500, 0.312) and Zn at (0.500, 0.500, 0.500).

The total DFT energy (no corrections) comes out at -3.755 eV per atom.

***

Entry from Alexandria via LeMat-Bulk: a relaxed structure of Tb6Tl2Zn (PBE).

The space group is Immm (No. 71) and the conventional cell measures 5.118, 7.257 and 15.358 Å, with angles of 90.00, 90.00 and 90.00 degrees. The asymmetric unit holds Tb at (0.000, 0.234, 0.000), Tb at (0.000, 0.258, 0.339), Tl at (0.000, 0.500, 0.166) and Zn at (0.000, 0.500, 0.500).

The total DFT energy (no corrections) comes out at -3.764 eV per atom.

***

Entry from Alexandria via LeMat-Bulk: a relaxed structure of Tb2Tl3Zn (PBE).

The space group is Pmm2 (No. 25) and the conventional cell measures 3.637, 4.838 and 8.723 Å, with angles of 90.00, 90.00 and 90.00 degrees. The asymmetric unit holds Tb at (0.000, 0.000, 0.000), Tb at (0.000, 0.500, 0.483), Tl at (0.500, 0.000, 0.633), Tl at (0.500, 0.500, 0.175), Tl at (0.500, 0.500, 0.830) and Zn at (0.500, 0.000, 0.317).

The total DFT energy (no corrections) comes out at -3.148 eV per atom.

***

Entry from Alexandria via LeMat-Bulk: a relaxed structure of TbTlZn (PBE).

The space group is Pmma (No. 51) and the conventional cell measures 13.807, 3.921 and 7.860 Å, with angles of 90.00, 90.00 and 90.00 degrees. The asymmetric unit holds Tb at (0.055, 0.000, 0.230), Tb at (0.250, 0.000, 0.820), Tl at (0.113, 0.500, 0.567), Tl at (0.250, 0.500, 0.158), Zn at (0.087, 0.500, 0.936) and Zn at (0.250, 0.000, 0.429).

The total DFT energy (no corrections) comes out at -3.050 eV per atom.

***

Entry from Alexandria via LeMat-Bulk: a relaxed structure of TbTl2Zn (PBE).

The space group is R-3m (No. 166, hexagonal axes) and the conventional cell measures 4.6572, 4.6572 and 16.0302 Å, with angles of 90.00, 90.00 and 120.00 degrees. The asymmetric unit holds Tb at (0.0000, 0.0000, 0.0000), Tl at (0.0000, 0.0000, 0.2315) and Zn at (0.0000, 0.0000, 0.5000).

The total DFT energy (no corrections) comes out at -2.765 eV per atom.

***

Entry from Alexandria via LeMat-Bulk: a relaxed structure of Tb3Tl2Zn4 (PBE).

The space group is C2/m (No. 12) and the conventional cell measures 10.763, 4.653 and 8.862 Å, with angles of 90.00, 114.23 and 90.00 degrees. The asymmetric unit holds Tb at (0.000, 0.000, 0.000), Tb at (0.164, 0.500, 0.674), Tl at (0.114, 0.500, 0.277), Zn at (0.066, 0.000, 0.411) and Zn at (0.220, 0.500, 0.038).

The total DFT energy (no corrections) comes out at -2.971 eV per atom.

***

Entry from Alexandria via LeMat-Bulk: a relaxed structure of TbTl2Zn (PBE).

The space group is P4/mmm (No. 123) and the conventional cell measures 4.622, 4.622 and 4.550 Å, with angles of 90.00, 90.00 and 90.00 degrees. The asymmetric unit holds Tb at (0.000, 0.000, 0.000), Tl at (0.000, 0.500, 0.500) and Zn at (0.500, 0.500, 0.000).

The total DFT energy (no corrections) comes out at -2.864 eV per atom.

***

Entry from Alexandria via LeMat-Bulk: a relaxed structure of Tb3Tl2Zn (PBE).

The space group is P4/mmm (No. 123) and the conventional cell measures 3.674, 3.674 and 11.580 Å, with angles of 90.00, 90.00 and 90.00 degrees. The asymmetric unit holds Tb at (0.000, 0.000, 0.000), Tb at (0.000, 0.000, 0.353), Tl at (0.500, 0.500, 0.178) and Zn at (0.500, 0.500, 0.500).

The total DFT energy (no corrections) comes out at -3.677 eV per atom.

***

Entry from Alexandria via LeMat-Bulk: a relaxed structure of TbTlZn (PBE).

The space group is Imm2 (No. 44) and the conventional cell measures 4.714, 7.314 and 8.232 Å, with angles of 90.00, 90.00 and 90.00 degrees. The asymmetric unit holds Tb at (0.000, 0.000, 0.000), Tb at (0.000, 0.500, 0.003), Tl at (0.000, 0.268, 0.669) and Zn at (0.000, 0.307, 0.332).

The total DFT energy (no corrections) comes out at -3.069 eV per atom.

***

Entry from Alexandria via LeMat-Bulk: a relaxed structure of Tb5Tl2Zn (PBE).

The space group is Cmcm (No. 63) and the conventional cell measures 5.494, 11.513 and 15.212 Å, with angles of 90.00, 90.00 and 90.00 degrees. The asymmetric unit holds Tb at (0.000, 0.077, 0.098), Tb at (0.000, 0.382, 0.750), Tb at (0.000, 0.391, 0.073), Tl at (0.000, 0.221, 0.593) and Zn at (0.000, 0.262, 0.250).

The total DFT energy (no corrections) comes out at -3.686 eV per atom.

***

- Look up the total DFT energy (no corrections) of the sixth one.
  -2.971 eV per atom

***

Please write out number 7 again, unchanged.
Entry from Alexandria via LeMat-Bulk: a relaxed structure of TbTl2Zn (PBE).

The space group is P4/mmm (No. 123) and the conventional cell measures 4.622, 4.622 and 4.550 Å, with angles of 90.00, 90.00 and 90.00 degrees. The asymmetric unit holds Tb at (0.000, 0.000, 0.000), Tl at (0.000, 0.500, 0.500) and Zn at (0.500, 0.500, 0.000).

The total DFT energy (no corrections) comes out at -2.864 eV per atom.